1.
The following is a DFT calculation (PBE) of an optimized crystal structure of Er6Sc2In3.

Values from the calculation:
* spin magnetization: 0.0 Bohr magnetons per cell
* energy of formation: 0.222 eV/atom
* calculated total energy: -4.165 eV/atom
* density: 7.40 g cm⁻³

a = 11.797 Å, b = 11.797 Å, c = 11.797 Å
α = 153.66°, β = 153.66°, γ = 37.60°
Positions (direct):
Er1 0.093 0.593 0.500
Er2 0.195 0.195 0.000
Er3 0.407 0.907 0.500
Er4 0.593 0.093 0.500
Er5 0.805 0.805 0.000
Er6 0.907 0.407 0.500
Sc1 0.056 0.056 0.000
Sc2 0.944 0.944 0.000
In1 0.332 0.332 0.000
In2 0.500 0.500 0.000
In3 0.668 0.668 0.000



2.
The following is a DFT calculation (PBE) of an optimized crystal structure of Er12ScIn3.

Values from the calculation:
* spin magnetization: 0.0 Bohr magnetons per cell
* energy of formation: -0.189 eV/atom
* calculated total energy: -4.520 eV/atom
* density: 8.87 g cm⁻³

a = 4.805 Å, b = 4.805 Å, c = 19.442 Å
α = 90.00°, β = 90.00°, γ = 90.00°
Positions (direct):
Er1 0.000 0.000 0.000
Er2 0.000 0.000 0.248
Er3 0.000 0.000 0.500
Er4 0.000 0.000 0.752
Er5 0.000 0.500 0.124
Er6 0.000 0.500 0.373
Er7 0.000 0.500 0.627
Er8 0.000 0.500 0.876
Er9 0.500 0.000 0.124
Er10 0.500 0.000 0.373
Er11 0.500 0.000 0.627
Er12 0.500 0.000 0.876
Sc1 0.500 0.500 0.500
In1 0.500 0.500 0.000
In2 0.500 0.500 0.246
In3 0.500 0.500 0.754



3.
The following is a DFT calculation (PBE) of an optimized crystal structure of Er3Sc2In2.

Values from the calculation:
* E above lowest polymorph: 9 meV per atom
* spin magnetization: 0.4 Bohr magnetons per cell
* energy of formation: 0.002 eV/atom
* calculated total energy: -4.545 eV/atom
* density: 7.48 g cm⁻³

a = 5.144 Å, b = 3.231 Å, c = 11.270 Å
α = 90.00°, β = 103.20°, γ = 90.00°
Positions (direct):
Er1 0.000 0.000 0.000
Er2 0.288 0.000 0.576
Er3 0.712 0.000 0.424
Sc1 0.137 0.000 0.274
Sc2 0.863 0.000 0.726
In1 0.423 0.500 0.847
In2 0.577 0.500 0.153



4.
The following is a DFT calculation (PBE) of an optimized crystal structure of Er2Sc8In3.

Values from the calculation:
* spin magnetization: 1.6 Bohr magnetons per cell
* energy of formation: 0.082 eV/atom
* calculated total energy: -5.148 eV/atom
* density: 5.04 g cm⁻³

a = 11.595 Å, b = 11.595 Å, c = 11.595 Å
α = 29.87°, β = 29.87°, γ = 29.87°
Positions (direct):
Er1 0.139 0.139 0.139
Er2 0.861 0.861 0.861
Sc1 0.222 0.222 0.724
Sc2 0.222 0.724 0.222
Sc3 0.229 0.229 0.229
Sc4 0.276 0.778 0.778
Sc5 0.724 0.222 0.222
Sc6 0.771 0.771 0.771
Sc7 0.778 0.276 0.778
Sc8 0.778 0.778 0.276
In1 0.314 0.314 0.314
In2 0.500 0.500 0.500
In3 0.686 0.686 0.686



5.
The following is a DFT calculation (PBE) of an optimized crystal structure of Er6ScIn3.

Values from the calculation:
* E above lowest polymorph: 97 meV per atom
* spin magnetization: 0.0 Bohr magnetons per cell
* energy of formation: -0.167 eV/atom
* calculated total energy: -4.359 eV/atom
* density: 8.15 g cm⁻³

a = 9.298 Å, b = 9.298 Å, c = 6.603 Å
α = 90.00°, β = 90.00°, γ = 96.15°
Positions (direct):
Er1 0.014 0.438 0.878
Er2 0.079 0.921 0.500
Er3 0.262 0.301 0.184
Er4 0.301 0.262 0.684
Er5 0.303 0.697 0.177
Er6 0.438 0.014 0.378
Er7 0.562 0.986 0.878
Er8 0.697 0.303 0.677
Er9 0.699 0.738 0.184
Er10 0.738 0.699 0.684
Er11 0.921 0.079 0.000
Er12 0.986 0.562 0.378
Sc1 0.307 0.693 0.681
Sc2 0.693 0.307 0.181
In1 0.010 0.759 0.956
In2 0.241 0.990 0.956
In3 0.500 0.500 0.427
In4 0.500 0.500 0.927
In5 0.759 0.010 0.456
In6 0.990 0.241 0.456



6.
The following is a DFT calculation (PBE) of an optimized crystal structure of ErSc4In5.

Values from the calculation:
* spin magnetization: 2.0 Bohr magnetons per cell
* energy of formation: -0.424 eV/atom
* calculated total energy: -4.782 eV/atom
* density: 6.62 g cm⁻³

a = 3.232 Å, b = 3.232 Å, c = 22.138 Å
α = 90.00°, β = 90.00°, γ = 90.00°
Positions (direct):
Er1 0.000 0.000 0.000
Sc1 0.000 0.000 0.205
Sc2 0.000 0.000 0.402
Sc3 0.000 0.000 0.598
Sc4 0.000 0.000 0.795
In1 0.500 0.500 0.106
In2 0.500 0.500 0.303
In3 0.500 0.500 0.500
In4 0.500 0.500 0.697
In5 0.500 0.500 0.894



7.
The following is a DFT calculation (PBE) of an optimized crystal structure of Er2Sc5In4.

Values from the calculation:
* spin magnetization: 1.8 Bohr magnetons per cell
* energy of formation: -0.189 eV/atom
* calculated total energy: -4.893 eV/atom
* density: 6.29 g cm⁻³

a = 8.160 Å, b = 3.205 Å, c = 10.327 Å
α = 90.00°, β = 95.87°, γ = 90.00°
Positions (direct):
Er1 0.079 0.000 0.143
Er2 0.921 0.000 0.857
Sc1 0.186 0.000 0.658
Sc2 0.455 0.000 0.185
Sc3 0.500 0.000 0.500
Sc4 0.545 0.000 0.815
Sc5 0.814 0.000 0.342
In1 0.184 0.500 0.397
In2 0.270 0.500 0.932
In3 0.730 0.500 0.068
In4 0.816 0.500 0.603



8.
The following is a DFT calculation (PBE) of an optimized crystal structure of ErSc9In2.

Values from the calculation:
* spin magnetization: 2.2 Bohr magnetons per cell
* energy of formation: -0.160 eV/atom
* calculated total energy: -5.745 eV/atom
* density: 4.61 g cm⁻³

a = 4.549 Å, b = 4.549 Å, c = 13.955 Å
α = 90.00°, β = 90.00°, γ = 90.00°
Positions (direct):
Er1 0.000 0.000 0.000
Sc1 0.000 0.500 0.175
Sc2 0.000 0.500 0.500
Sc3 0.000 0.500 0.825
Sc4 0.500 0.000 0.175
Sc5 0.500 0.000 0.500
Sc6 0.500 0.000 0.825
Sc7 0.500 0.500 0.000
Sc8 0.500 0.500 0.340
Sc9 0.500 0.500 0.660
In1 0.000 0.000 0.339
In2 0.000 0.000 0.661



9.
The following is a DFT calculation (PBE) of an optimized crystal structure of Er3ScIn4.

Values from the calculation:
* spin magnetization: 0.0 Bohr magnetons per cell
* energy of formation: -0.432 eV/atom
* calculated total energy: -4.304 eV/atom
* density: 8.31 g cm⁻³

a = 3.641 Å, b = 3.641 Å, c = 15.162 Å
α = 90.00°, β = 90.00°, γ = 90.00°
Positions (direct):
Er1 0.000 0.000 0.000
Er2 0.000 0.000 0.258
Er3 0.000 0.000 0.742
Sc1 0.000 0.000 0.500
In1 0.500 0.500 0.130
In2 0.500 0.500 0.387
In3 0.500 0.500 0.613
In4 0.500 0.500 0.870



10.
The following is a DFT calculation (PBE) of an optimized crystal structure of Er2ScIn.

Values from the calculation:
* E above lowest polymorph: 109 meV per atom
* spin magnetization: 0.7 Bohr magnetons per cell
* energy of formation: -0.148 eV/atom
* calculated total energy: -4.697 eV/atom
* density: 7.77 g cm⁻³

a = 5.307 Å, b = 5.307 Å, c = 5.307 Å
α = 60.00°, β = 60.00°, γ = 60.00°
Positions (direct):
Er1 0.250 0.250 0.250
Er2 0.750 0.750 0.750
Sc1 0.000 0.000 0.000
In1 0.500 0.500 0.500



11.
The following is a DFT calculation (PBE) of an optimized crystal structure of Er4ScIn5.

Values from the calculation:
* spin magnetization: 0.0 Bohr magnetons per cell
* energy of formation: -0.434 eV/atom
* calculated total energy: -4.262 eV/atom
* density: 8.45 g cm⁻³

a = 3.636 Å, b = 3.636 Å, c = 19.142 Å
α = 90.00°, β = 90.00°, γ = 90.00°
Positions (direct):
Er1 0.000 0.000 0.103
Er2 0.000 0.000 0.308
Er3 0.000 0.000 0.692
Er4 0.000 0.000 0.897
Sc1 0.000 0.000 0.500
In1 0.500 0.500 0.000
In2 0.500 0.500 0.206
In3 0.500 0.500 0.410
In4 0.500 0.500 0.590
In5 0.500 0.500 0.794



12.
The following is a DFT calculation (PBE) of an optimized crystal structure of Er4Sc2In.

Values from the calculation:
* spin magnetization: 2.0 Bohr magnetons per cell
* energy of formation: -0.032 eV/atom
* calculated total energy: -4.840 eV/atom
* density: 7.39 g cm⁻³

a = 11.464 Å, b = 11.464 Å, c = 6.628 Å
α = 90.00°, β = 90.00°, γ = 153.19°
Positions (direct):
Er1 0.068 0.932 0.750
Er2 0.213 0.787 0.250
Er3 0.354 0.646 0.007
Er4 0.354 0.646 0.493
Er5 0.646 0.354 0.507
Er6 0.646 0.354 0.993
Er7 0.787 0.213 0.750
Er8 0.932 0.068 0.250
Sc1 0.215 0.785 0.750
Sc2 0.487 0.513 0.750
Sc3 0.513 0.487 0.250
Sc4 0.785 0.215 0.250
In1 0.076 0.924 0.250
In2 0.924 0.076 0.750



13.
The following is a DFT calculation (PBE) of an optimized crystal structure of Er6ScIn3.

Values from the calculation:
* E above lowest polymorph: 0 meV per atom
* spin magnetization: 0.0 Bohr magnetons per cell
* energy of formation: -0.264 eV/atom
* calculated total energy: -4.456 eV/atom
* density: 8.39 g cm⁻³

a = 9.704 Å, b = 5.185 Å, c = 11.368 Å
α = 90.00°, β = 105.40°, γ = 90.00°
Positions (direct):
Er1 0.054 0.250 0.410
Er2 0.158 0.750 0.183
Er3 0.247 0.250 0.001
Er4 0.324 0.750 0.797
Er5 0.380 0.250 0.315
Er6 0.391 0.250 0.615
Er7 0.609 0.750 0.385
Er8 0.620 0.750 0.685
Er9 0.676 0.250 0.203
Er10 0.753 0.750 0.999
Er11 0.842 0.250 0.817
Er12 0.946 0.750 0.590
Sc1 0.461 0.750 0.096
Sc2 0.539 0.250 0.904
In1 0.036 0.750 0.890
In2 0.120 0.250 0.711
In3 0.280 0.750 0.471
In4 0.720 0.250 0.529
In5 0.880 0.750 0.289
In6 0.964 0.250 0.110



14.
The following is a DFT calculation (PBE) of an optimized crystal structure of Er3Sc9In2.

Values from the calculation:
* spin magnetization: 0.0 Bohr magnetons per cell
* energy of formation: -0.026 eV/atom
* calculated total energy: -5.465 eV/atom
* density: 5.23 g cm⁻³

a = 8.897 Å, b = 8.897 Å, c = 8.897 Å
α = 147.72°, β = 97.84°, γ = 91.04°
Positions (direct):
Er1 0.000 0.000 0.000
Er2 0.292 0.000 0.292
Er3 0.708 0.000 0.708
Sc1 0.018 0.383 0.635
Sc2 0.128 0.263 0.865
Sc3 0.252 0.617 0.635
Sc4 0.397 0.263 0.135
Sc5 0.500 0.500 0.000
Sc6 0.603 0.737 0.865
Sc7 0.748 0.383 0.365
Sc8 0.872 0.737 0.135
Sc9 0.982 0.617 0.365
In1 0.336 0.836 0.500
In2 0.664 0.164 0.500



15.
The following is a DFT calculation (PBE) of an optimized crystal structure of ErSc5In2.

Values from the calculation:
* E above lowest polymorph: 0 meV per atom
* spin magnetization: 5.4 Bohr magnetons per cell
* energy of formation: -0.274 eV/atom
* calculated total energy: -5.487 eV/atom
* density: 5.41 g cm⁻³

a = 6.464 Å, b = 12.936 Å, c = 4.567 Å
α = 90.00°, β = 90.00°, γ = 90.00°
Positions (direct):
Er1 0.000 0.000 0.000
Er2 0.500 0.500 0.000
Sc1 0.000 0.500 0.000
Sc2 0.001 0.253 0.000
Sc3 0.247 0.628 0.500
Sc4 0.253 0.128 0.500
Sc5 0.499 0.753 0.000
Sc6 0.500 0.000 0.000
Sc7 0.501 0.247 0.000
Sc8 0.747 0.872 0.500
Sc9 0.753 0.372 0.500
Sc10 0.999 0.747 0.000
In1 0.248 0.373 0.500
In2 0.252 0.873 0.500
In3 0.748 0.127 0.500
In4 0.752 0.627 0.500



16.
The following is a DFT calculation (PBE) of an optimized crystal structure of Er3ScIn.

Values from the calculation:
* E above lowest polymorph: 8 meV per atom
* spin magnetization: 0.1 Bohr magnetons per cell
* energy of formation: -0.169 eV/atom
* calculated total energy: -4.721 eV/atom
* density: 7.93 g cm⁻³

a = 8.567 Å, b = 8.567 Å, c = 6.653 Å
α = 90.81°, β = 90.81°, γ = 34.56°
Positions (direct):
Er1 0.006 0.006 0.255
Er2 0.203 0.203 0.732
Er3 0.390 0.390 0.010
Er4 0.610 0.610 0.990
Er5 0.797 0.797 0.268
Er6 0.994 0.994 0.745
Sc1 0.395 0.395 0.500
Sc2 0.605 0.605 0.500
In1 0.197 0.197 0.243
In2 0.803 0.803 0.757



17.
The following is a DFT calculation (PBE) of an optimized crystal structure of ErSc6In.

Values from the calculation:
* spin magnetization: 0.0 Bohr magnetons per cell
* energy of formation: 0.068 eV/atom
* calculated total energy: -5.593 eV/atom
* density: 4.50 g cm⁻³

a = 6.388 Å, b = 6.388 Å, c = 6.223 Å
α = 106.03°, β = 106.03°, γ = 112.41°
Positions (direct):
Er1 0.000 0.000 0.000
Sc1 0.003 0.476 0.753
Sc2 0.476 0.003 0.753
Sc3 0.487 0.487 0.737
Sc4 0.513 0.513 0.263
Sc5 0.524 0.997 0.247
Sc6 0.997 0.524 0.247
In1 0.000 0.000 0.500



18.
The following is a DFT calculation (PBE) of an optimized crystal structure of Er3Sc6In.

Values from the calculation:
* spin magnetization: 0.0 Bohr magnetons per cell
* energy of formation: 0.077 eV/atom
* calculated total energy: -5.364 eV/atom
* density: 5.50 g cm⁻³

a = 9.562 Å, b = 9.562 Å, c = 5.947 Å
α = 90.00°, β = 90.00°, γ = 99.99°
Positions (direct):
Er1 0.138 0.862 0.500
Er2 0.215 0.386 0.844
Er3 0.386 0.215 0.344
Er4 0.614 0.785 0.844
Er5 0.785 0.614 0.344
Er6 0.862 0.138 0.000
Sc1 0.054 0.179 0.495
Sc2 0.090 0.492 0.311
Sc3 0.179 0.054 0.995
Sc4 0.254 0.746 0.005
Sc5 0.450 0.550 0.164
Sc6 0.492 0.090 0.811
Sc7 0.508 0.910 0.311
Sc8 0.550 0.450 0.664
Sc9 0.746 0.254 0.505
Sc10 0.821 0.946 0.495
Sc11 0.910 0.508 0.811
Sc12 0.946 0.821 0.995
In1 0.345 0.655 0.565
In2 0.655 0.345 0.065



19.
The following is a DFT calculation (PBE) of an optimized crystal structure of Er2Sc4In.

Values from the calculation:
* E above lowest polymorph: 471 meV per atom
* spin magnetization: 0.8 Bohr magnetons per cell
* energy of formation: 0.486 eV/atom
* calculated total energy: -4.827 eV/atom
* density: 5.14 g cm⁻³

a = 7.076 Å, b = 7.076 Å, c = 5.340 Å
α = 90.00°, β = 90.00°, γ = 130.58°
Positions (direct):
Er1 0.127 0.873 0.000
Er2 0.873 0.127 0.000
Sc1 0.264 0.736 0.500
Sc2 0.372 0.628 0.000
Sc3 0.628 0.372 0.000
Sc4 0.736 0.264 0.500
In1 0.500 0.500 0.500



20.
The following is a DFT calculation (PBE) of an optimized crystal structure of Er5Sc4In.

Values from the calculation:
* spin magnetization: 0.0 Bohr magnetons per cell
* energy of formation: 0.249 eV/atom
* calculated total energy: -4.839 eV/atom
* density: 6.47 g cm⁻³

a = 7.582 Å, b = 7.582 Å, c = 7.582 Å
α = 98.95°, β = 98.95°, γ = 133.55°
Positions (direct):
Er1 0.000 0.000 0.000
Er2 0.439 0.533 0.612
Er3 0.533 0.921 0.095
Er4 0.826 0.439 0.905
Er5 0.921 0.826 0.388
Sc1 0.132 0.545 0.308
Sc2 0.238 0.824 0.692
Sc3 0.545 0.238 0.413
Sc4 0.824 0.132 0.587
In1 0.472 0.472 0.000